The following is a PBE-GGA calculation of a relaxed Mn24Fe5 crystal, from Alexandria.

Output
calculated total energy = -9.0287 eV/atom
symmetry = I-43m
total moment = 0.36 μB/atom

The structure in CIF format:
```
data_Mn24Fe5
_cell_length_a 7.448
_cell_length_b 7.448
_cell_length_c 7.448
_cell_angle_alpha 109.47
_cell_angle_beta 109.47
_cell_angle_gamma 109.47
_space_group_name_H-M_alt 'P 1'
_space_group_IT_number 1
loop_
_space_group_symop_operation_xyz
'x,y,z'
loop_
_atom_site_label
_atom_site_type_symbol
_atom_site_fract_x
_atom_site_fract_y
_atom_site_fract_z
Fe1 Fe 0.000 0.639 0.000
Fe2 Fe 0.639 0.000 0.000
Fe3 Fe 0.000 0.000 0.639
Fe4 Fe 0.361 0.361 0.361
Fe5 Fe 0.000 0.000 0.000
Mn1 Mn 0.195 0.374 0.000
Mn2 Mn 0.374 0.195 0.000
Mn3 Mn 0.805 0.805 0.179
Mn4 Mn 0.626 0.626 0.821
Mn5 Mn 0.805 0.179 0.805
Mn6 Mn 0.626 0.821 0.626
Mn7 Mn 0.374 0.000 0.195
Mn8 Mn 0.195 0.000 0.374
Mn9 Mn 0.000 0.374 0.195
Mn10 Mn 0.000 0.195 0.374
Mn11 Mn 0.821 0.626 0.626
Mn12 Mn 0.179 0.805 0.805
Mn13 Mn 0.679 0.392 0.000
Mn14 Mn 0.392 0.679 0.000
Mn15 Mn 0.321 0.321 0.713
Mn16 Mn 0.608 0.608 0.287
Mn17 Mn 0.321 0.713 0.321
Mn18 Mn 0.608 0.287 0.608
Mn19 Mn 0.392 0.000 0.679
Mn20 Mn 0.679 0.000 0.392
Mn21 Mn 0.000 0.392 0.679
Mn22 Mn 0.000 0.679 0.392
Mn23 Mn 0.287 0.608 0.608
Mn24 Mn 0.713 0.321 0.321
```


The following is a PBE-GGA calculation of a relaxed La4RuSe3 crystal, from Alexandria.

Output
calculated total energy = -6.4689 eV/atom
symmetry = P2/c
uncorrected formation energy = -1188 kJ/mol of formula units
total moment = 0.00 μB/atom

The structure in CIF format:
```
data_La4RuSe3
_cell_length_a 7.374
_cell_length_b 7.631
_cell_length_c 8.647
_cell_angle_alpha 90.00
_cell_angle_beta 90.00
_cell_angle_gamma 109.71
_space_group_name_H-M_alt 'P 1'
_space_group_IT_number 1
loop_
_space_group_symop_operation_xyz
'x,y,z'
loop_
_atom_site_label
_atom_site_type_symbol
_atom_site_fract_x
_atom_site_fract_y
_atom_site_fract_z
Ru1 Ru 0.750 0.000 0.869
Ru2 Ru 0.250 0.000 0.131
Se1 Se 0.750 0.000 0.379
Se2 Se 0.250 0.000 0.621
Se3 Se 0.750 0.500 0.619
Se4 Se 0.750 0.500 0.126
Se5 Se 0.250 0.500 0.381
Se6 Se 0.250 0.500 0.874
La1 La 0.981 0.236 0.645
La2 La 0.501 0.229 0.885
La3 La 0.481 0.236 0.355
La4 La 0.001 0.229 0.115
La5 La 0.999 0.771 0.885
La6 La 0.519 0.764 0.645
La7 La 0.499 0.771 0.115
La8 La 0.019 0.764 0.355
```